ZrSnPd: optimized geometry, PBE-GGA.

Values from the calculation:
As for the total energy: -6.421 eV/atom. The value obtained for the volume is 59 Å³ per cell.

Lattice parameters (Å, degrees): 3.2706 3.2706 5.9877 105.85 105.85 90.00
With the nearest neighbours (Å) after each atom.
Positions (direct):
1 Zr 0.0074 0.0074 0.0147  4 Pd 2.95, 4 Sn 3.11, 4 Zr 3.27
2 Sn 0.3196 0.3196 0.6392  4 Pd 2.82, 4 Zr 3.11
3 Pd 0.6731 0.6731 0.3461  4 Sn 2.82, 4 Zr 2.95

***

CaEuZr2O6: optimized geometry, PBE-GGA.

Values from the calculation:
As for the total energy: -9.085 eV/atom. The value obtained for the volume is 140 Å³ per cell. For the raw formation energy, the calculation gives -3172 meV/atom.

Lattice parameters (Å, degrees): 5.7642 5.7642 4.2031 90.00 90.00 90.22
With the nearest neighbours (Å) after each atom.
Positions (direct):
1 Ca 0.0000 0.0000 0.5000  4 O 2.55
2 Eu 0.5000 0.5000 0.5000  4 O 2.57
3 Zr 0.5000 0.0000 0.0000  6 O 2.10-2.13
4 Zr 0.0000 0.5000 0.0000  6 O 2.10-2.13
5 O 0.5000 0.0000 0.5000  2 Zr 2.10
6 O 0.0000 0.5000 0.5000  2 Zr 2.10
7 O 0.6803 0.3197 0.0000  2 Zr 2.11
8 O 0.3197 0.6803 0.0000  2 Zr 2.11
9 O 0.8224 0.8224 0.0000  2 Zr 2.13
10 O 0.1776 0.1776 0.0000  2 Zr 2.13

***

Ni2MoAu: optimized geometry, PBE-GGA.

Values from the calculation:
As for the total energy: -6.182 eV/atom. The value obtained for the volume is 55 Å³ per cell.

Lattice parameters (Å, degrees): 4.4619 4.4619 2.7845 90.00 90.00 90.00
With the nearest neighbours (Å) after each atom.
Positions (direct):
1 Ni 0.5000 0.0000 0.0000  4 Mo 2.63, 4 Au 2.63, 2 Ni 2.78
2 Ni 0.0000 0.5000 0.0000  4 Mo 2.63, 4 Au 2.63, 2 Ni 2.78
3 Mo 0.0000 0.0000 0.5000  8 Ni 2.63, 2 Mo 2.78
4 Au 0.5000 0.5000 0.5000  8 Ni 2.63, 2 Au 2.78

***

Tl4SnBi5: optimized geometry, PBE-GGA.

Values from the calculation:
As for the total energy: -3.272 eV/atom. The value obtained for the volume is 318 Å³ per cell.

Lattice parameters (Å, degrees): 3.4031 3.4031 27.5018 90.00 90.00 90.00
With the nearest neighbours (Å) after each atom.
Positions (direct):
1 Tl 0.0000 0.0000 0.1984  4 Tl 3.40, 8 Bi 3.66-3.79
2 Tl 0.0000 0.0000 0.3990  4 Tl 3.40, 8 Bi 3.66-3.67
3 Tl 0.0000 0.0000 0.6010  4 Tl 3.40, 8 Bi 3.66-3.67
4 Tl 0.0000 0.0000 0.8016  4 Tl 3.40, 8 Bi 3.66-3.79
5 Sn 0.0000 0.0000 0.0000  4 Sn 3.40, 8 Bi 3.49
6 Bi 0.5000 0.5000 0.0919  4 Bi 3.40, 4 Sn 3.49, 4 Tl 3.79
7 Bi 0.5000 0.5000 0.2986  4 Bi 3.40, 8 Tl 3.66
8 Bi 0.5000 0.5000 0.5000  4 Bi 3.40, 8 Tl 3.67
9 Bi 0.5000 0.5000 0.7014  4 Bi 3.40, 8 Tl 3.66
10 Bi 0.5000 0.5000 0.9081  4 Bi 3.40, 4 Sn 3.49, 4 Tl 3.79